No. 1
Entry from Alexandria: a relaxed TaBe5Tc crystal (PBE-GGA).

Properties
Energy of formation from the pure elements = -1.663 eV per formula unit
Total magnetization = 0.00 μB/atom
Total DFT energy (no corrections) = -6.0733 eV/atom

Unit cell a=7.239 b=4.357 c=9.061 alpha=90.00 beta=90.00 gamma=90.00
Positions (direct):
Ta 0.248 0.250 0.075
Ta 0.252 0.750 0.575
Ta 0.748 0.250 0.425
Ta 0.752 0.750 0.925
Be 0.056 0.750 0.124
Be 0.074 0.008 0.319
Be 0.074 0.492 0.319
Be 0.085 0.250 0.519
Be 0.185 0.250 0.753
Be 0.315 0.750 0.253
Be 0.415 0.750 0.019
Be 0.426 0.508 0.819
Be 0.426 0.992 0.819
Be 0.444 0.250 0.624
Be 0.556 0.750 0.376
Be 0.574 0.008 0.181
Be 0.574 0.492 0.181
Be 0.585 0.250 0.981
Be 0.685 0.250 0.747
Be 0.815 0.750 0.247
Be 0.915 0.750 0.481
Be 0.926 0.508 0.681
Be 0.926 0.992 0.681
Be 0.944 0.250 0.876
Tc 0.117 0.750 0.882
Tc 0.383 0.250 0.382
Tc 0.617 0.750 0.618
Tc 0.883 0.250 0.118

No. 2
Entry from Alexandria: a relaxed Ta2InTc crystal (PBE-GGA).

Properties
Energy of formation from the pure elements = 0.477 eV per formula unit
Total magnetization = 0.00 μB/atom
Total DFT energy (no corrections) = -9.0831 eV/atom

Unit cell a=4.879 b=4.879 c=3.141 alpha=90.00 beta=90.00 gamma=107.68
Positions (direct):
Ta 0.000 0.500 0.000
Ta 0.500 0.000 0.000
In 0.000 0.000 0.500
Tc 0.500 0.500 0.500

No. 3
Entry from Alexandria: a relaxed Mg2TaAg crystal (PBE-GGA).

Properties
Energy of formation from the pure elements = 1.348 eV per formula unit
Total magnetization = 0.00 μB/atom
Energy above the most stable polymorph in this dataset = 0.277 eV/atom
Total DFT energy (no corrections) = -4.1363 eV/atom

Unit cell a=4.274 b=4.274 c=4.093 alpha=90.00 beta=90.00 gamma=90.00
Positions (direct):
Mg 0.000 0.500 0.000
Mg 0.500 0.000 0.000
Ta 0.000 0.000 0.500
Ag 0.500 0.500 0.500

No. 4
Entry from Alexandria: a relaxed SbMo2Cl crystal (PBE-GGA).

Properties
Energy relative to the elements, uncorrected = 750 meV/atom
Total magnetization = 0.16 μB/atom
Energy above the most stable polymorph in this dataset = 0.850 eV/atom
Total DFT energy (no corrections) = -6.1577 eV/atom

Unit cell a=4.968 b=4.968 c=4.968 alpha=129.17 beta=129.17 gamma=74.73
Positions (direct):
Sb 0.000 0.000 0.000
Mo 0.500 0.500 0.000
Mo 0.750 0.250 0.500
Cl 0.250 0.750 0.500

No. 5
Entry from Alexandria: a relaxed LiNdHo2Au4 crystal (PBE-GGA).

Properties
Energy of formation from the pure elements = -6.007 eV per formula unit
Total magnetization = 0.00 μB/atom
Total DFT energy (no corrections) = -4.3692 eV/atom

Unit cell a=8.863 b=8.863 c=8.863 alpha=32.65 beta=32.65 gamma=32.65
Positions (direct):
Li 0.000 0.000 0.000
Nd 0.500 0.500 0.500
Ho 0.261 0.261 0.261
Ho 0.739 0.739 0.739
Au 0.112 0.112 0.112
Au 0.378 0.378 0.378
Au 0.622 0.622 0.622
Au 0.888 0.888 0.888

No. 6
Entry from Alexandria: a relaxed CuSiMo2 crystal (PBE-GGA).

Properties
Energy relative to the elements, uncorrected = 102 meV/atom
Total magnetization = 0.00 μB/atom
Total DFT energy (no corrections) = -7.6929 eV/atom

Unit cell a=2.707 b=4.001 c=5.236 alpha=90.00 beta=90.00 gamma=90.00
Positions (direct):
Cu 0.000 0.000 0.000
Si 0.000 0.000 0.500
Mo 0.500 0.500 0.255
Mo 0.500 0.500 0.745